1.
Computed, not measured: an optimized crystal structure of AlSiNi2 at the PBE level of DFT.

Cell and atoms, written as extended XYZ:
```
4
Lattice="2.960 0.000 0.000 0.000 3.949 0.000 0.000 0.000 3.949" Properties=species:S:1:pos:R:3 pbc="T T T"
Ni 0.000 0.000 1.975
Ni 0.000 1.975 0.000
Si 1.480 0.000 0.000
Al 1.480 1.975 1.975
```

Space-group type = P4/mmm (123)
Density = 6.20 g/cm³
Total energy = -5.71 eV/atom
Magnetic moment = 0.00 μB/cell
Crystal system = tetragonal

2.
Computed, not measured: an optimized crystal structure of AlSiNi2 at the PBE level of DFT.

Cell and atoms, written as extended XYZ:
```
8
Lattice="-2.603 1.735 -2.268 2.725 -2.252 -1.559 -4.610 -6.041 0.670" Properties=species:S:1:pos:R:3 pbc="T T T"
Al -1.980 -1.104 -1.864
Al -2.509 -5.454 -1.293
Ni -3.516 -3.118 -1.641
Ni 0.565 -1.426 -1.740
Ni -0.972 -3.441 -1.516
Ni -5.053 -5.132 -1.418
Si 0.000 0.000 0.000
Si -2.305 -3.021 0.335
```

Space-group type = P6_3/mmc (194)
Density = 5.81 g/cm³
Total energy = -5.77 eV/atom
Magnetic moment = 0.00 μB/cell
Crystal system = hexagonal

3.
Computed, not measured: an optimized crystal structure of Al4Si2Ni at the PBE level of DFT.

Cell and atoms, written as extended XYZ:
```
14
Lattice="3.922 0.000 0.000 -1.961 3.397 0.000 0.000 0.000 21.251" Properties=species:S:1:pos:R:3 pbc="T T T"
Ni 0.000 0.000 8.955
Ni 0.000 0.000 19.580
Si 0.000 2.264 5.312
Si 1.961 1.132 15.937
Si 1.961 1.132 1.733
Si 0.000 2.264 12.358
Al 0.000 0.000 0.749
Al 0.000 0.000 11.374
Al 1.961 1.132 4.204
Al 0.000 2.264 14.829
Al 0.000 0.000 6.580
Al 0.000 0.000 17.205
Al 0.000 2.264 9.666
Al 1.961 1.132 20.291
```

Space-group type = P6_3mc (186)
E above lowest polymorph = 266 meV per atom
Density = 2.61 g/cm³
Total energy = -4.33 eV/atom
Magnetic moment = 0.00 μB/cell
Crystal system = hexagonal

4.
Computed, not measured: an optimized crystal structure of Al3SiNi2 at the PBE level of DFT.

Cell and atoms, written as extended XYZ:
```
6
Lattice="5.444 2.246 -1.546 -5.914 1.315 0.603 0.573 0.991 3.460" Properties=species:S:1:pos:R:3 pbc="T T T"
Al -2.190 1.620 -0.101
Al 1.720 1.941 -0.841
Al 0.052 2.276 1.259
Si 0.000 0.000 0.000
Ni -3.803 1.960 1.988
Ni 3.907 2.592 0.529
```

Space-group type = Cmmm (65)
E above lowest polymorph = 42 meV per atom
Density = 4.79 g/cm³
Total energy = -4.95 eV/atom
Magnetic moment = 0.00 μB/cell
Crystal system = orthorhombic

5.
Computed, not measured: an optimized crystal structure of AlSiNi at the PBE level of DFT.

Cell and atoms, written as extended XYZ:
```
6
Lattice="1.879 -3.255 0.000 1.879 3.255 0.000 0.000 0.000 7.126" Properties=species:S:1:pos:R:3 pbc="T T T"
Al 0.000 0.000 2.118
Al 0.000 0.000 5.008
Si 1.879 -1.085 3.563
Si 1.879 -1.085 0.000
Ni 1.879 1.085 1.171
Ni 1.879 1.085 5.956
```

Space-group type = P-6m2 (187)
Density = 4.33 g/cm³
Total energy = -5.03 eV/atom
Magnetic moment = 0.00 μB/cell
Crystal system = hexagonal

6.
Computed, not measured: an optimized crystal structure of AlSiNi at the PBE level of DFT.

Cell and atoms, written as extended XYZ:
```
12
Lattice="-4.077 -3.573 -2.555 2.502 -3.253 0.558 -2.746 -1.097 5.916" Properties=species:S:1:pos:R:3 pbc="T T T"
Ni -2.751 -3.293 -1.547
Ni -1.569 -4.631 5.466
Ni -2.488 -5.970 1.776
Ni -1.833 -1.954 2.143
Si -3.327 -4.158 0.580
Si -0.994 -3.766 3.339
Si -3.809 -5.864 3.737
Si -0.511 -2.060 0.183
Al -1.574 -1.454 4.546
Al -0.708 -4.683 0.651
Al 1.330 -2.896 1.929
Al -3.612 -3.241 3.268
```

Space-group type = Pbcm (57)
Density = 4.60 g/cm³
Total energy = -5.20 eV/atom
Magnetic moment = 0.00 μB/cell
Crystal system = orthorhombic

7.
Computed, not measured: an optimized crystal structure of Al4SiNi at the PBE level of DFT.

Cell and atoms, written as extended XYZ:
```
12
Lattice="6.980 0.023 0.000 -6.014 3.543 0.000 0.000 0.000 7.541" Properties=species:S:1:pos:R:3 pbc="T T T"
Ni 3.900 0.858 5.656
Ni -2.933 2.709 1.885
Si -1.064 2.202 5.656
Si 2.030 1.364 1.885
Al 0.000 0.000 0.000
Al 0.000 0.000 3.770
Al -3.553 2.877 7.055
Al 4.519 0.690 3.284
Al -3.553 2.877 4.256
Al 4.519 0.690 0.486
Al 1.454 1.520 5.656
Al -0.488 2.046 1.885
```

Space-group type = Cmcm (63)
E above lowest polymorph = 34 meV per atom
Density = 3.45 g/cm³
Total energy = -4.47 eV/atom
Magnetic moment = 0.00 μB/cell
Crystal system = orthorhombic

8.
Computed, not measured: an optimized crystal structure of AlSiNi4 at the PBE level of DFT.

Cell and atoms, written as extended XYZ:
```
6
Lattice="-2.175 1.571 -0.721 -0.871 -0.843 -4.559 -4.576 -2.261 3.525" Properties=species:S:1:pos:R:3 pbc="T T T"
Al -3.811 -0.767 -0.878
Si 0.000 0.000 0.000
Ni -6.082 -1.085 -0.072
Ni -3.062 -1.005 -3.654
Ni -1.540 -0.449 -1.684
Ni -4.560 -0.528 1.899
```

Space-group type = C2/m (12)
E above lowest polymorph = 0 meV per atom
Density = 7.09 g/cm³
Total energy = -5.84 eV/atom
Magnetic moment = 0.00 μB/cell
Crystal system = monoclinic

9.
Computed, not measured: an optimized crystal structure of AlSiNi2 at the PBE level of DFT.

Cell and atoms, written as extended XYZ:
```
4
Lattice="2.709 0.000 0.000 -1.354 2.346 0.000 0.000 0.002 7.956" Properties=species:S:1:pos:R:3 pbc="T T T"
Ni 1.354 0.782 1.978
Ni 0.000 1.566 6.006
Si 1.354 0.783 4.239
Al 1.354 2.346 0.069
```

Space-group type = P3m1 (156)
Density = 5.66 g/cm³
Total energy = -5.43 eV/atom
Magnetic moment = 0.00 μB/cell
Crystal system = trigonal

10.
Computed, not measured: an optimized crystal structure of AlSiNi4 at the PBE level of DFT.

Cell and atoms, written as extended XYZ:
```
12
Lattice="3.420 0.000 0.000 0.000 6.070 0.000 0.000 0.000 7.005" Properties=species:S:1:pos:R:3 pbc="T T T"
Ni 0.000 0.000 0.000
Ni 0.000 0.000 3.502
Ni 1.710 5.727 1.751
Ni 1.710 0.344 5.254
Ni 1.710 1.879 0.356
Ni 1.710 1.879 3.146
Ni 1.710 4.191 6.648
Ni 1.710 4.191 3.859
Si 0.000 1.362 1.751
Si 0.000 4.708 5.254
Al 0.000 3.955 1.751
Al 0.000 2.115 5.254
```

Space-group type = Pmma (51)
E above lowest polymorph = 132 meV per atom
Density = 6.62 g/cm³
Total energy = -5.71 eV/atom
Magnetic moment = 0.00 μB/cell
Crystal system = orthorhombic

11.
Computed, not measured: an optimized crystal structure of AlSiNi5 at the PBE level of DFT.

Cell and atoms, written as extended XYZ:
```
7
Lattice="3.606 0.000 0.000 0.000 3.606 0.000 0.000 0.000 6.401" Properties=species:S:1:pos:R:3 pbc="T T T"
Al 0.000 0.000 0.000
Si 0.000 0.000 3.200
Ni 1.803 1.803 0.000
Ni 0.000 1.803 1.807
Ni 1.803 0.000 1.807
Ni 0.000 1.803 4.594
Ni 1.803 0.000 4.594
```

Space-group type = P4/mmm (123)
E above lowest polymorph = 0 meV per atom
Density = 6.95 g/cm³
Total energy = -5.80 eV/atom
Magnetic moment = 0.00 μB/cell
Crystal system = tetragonal

12.
Computed, not measured: an optimized crystal structure of AlSi2Ni8 at the PBE level of DFT.

Cell and atoms, written as extended XYZ:
```
11
Lattice="3.649 0.000 0.000 0.000 5.728 0.127 -1.825 -2.311 5.832" Properties=species:S:1:pos:R:3 pbc="T T T"
Al 1.825 0.000 0.000
Si 1.825 0.566 3.419
Si 0.000 2.852 2.540
Ni 0.000 1.203 4.721
Ni 1.825 4.484 2.185
Ni 1.825 2.845 4.086
Ni 1.825 -0.592 5.434
Ni 0.000 0.572 1.873
Ni 0.000 -1.067 3.775
Ni 1.825 2.214 1.239
Ni 0.000 4.009 0.526
```

Space-group type = C2/m (12)
E above lowest polymorph = 17 meV per atom
Density = 7.46 g/cm³
Total energy = -5.96 eV/atom
Magnetic moment = 0.00 μB/cell
Crystal system = monoclinic